VASP calculation (PBE) on PuScMn4 after structural relaxation.

extended XYZ file:
```
6
Lattice="0.000 3.512 3.512 3.512 0.000 3.512 3.512 3.512 0.000" Properties=species:S:1:pos:R:3 pbc="T T T"
Pu 0.000 0.000 0.000
Sc 5.268 5.268 5.268
Mn 2.637 2.637 2.637
Mn 4.387 4.387 2.637
Mn 4.387 2.637 4.387
Mn 2.637 4.387 4.387
```

Summary:
Space group: F-43m (216)
E, eV/atom: -9.4921
Magnetic moment, μB/atom: 1.11